Compound: FeO
Source: the Alexandria database
Functional: GGA+U
Structure: optimized geometry

Geometry as POSCAR:
```
FeO
1.0
-3.159 3.159 3.159
3.159 -3.159 3.159
3.159 3.159 -3.159
Fe O
4 4
direct
0.000 0.000 0.321
0.000 0.321 0.000
0.321 0.000 0.000
0.679 0.679 0.679
0.000 0.000 0.671
0.000 0.671 0.000
0.329 0.329 0.329
0.671 0.000 0.000
```

Results
The total energy is -6.1134 eV/atom. As for the density of states at the Fermi level: 0.526 states/eV/atom. As for the symmetry: No. 217. The crystal system is cubic.